# 1
# PBE-GGA CuReBiOs, relaxed
data_CuReBiOs
_space_group_name_H-M_alt 'F -4 3 m'
_space_group_IT_number 216
_space_group_name_Hall 'F -4 2 3'
_cell_length_a 6.4440
_cell_length_b 6.4440
_cell_length_c 6.4440
_cell_angle_alpha 90.00
_cell_angle_beta 90.00
_cell_angle_gamma 90.00
loop_
_atom_site_label
_atom_site_type_symbol
_atom_site_fract_x
_atom_site_fract_y
_atom_site_fract_z
_atom_site_occupancy
Cu1 Cu 0.0000 0.0000 0.0000 1
Re1 Re 0.0000 0.0000 0.5000 1
Bi1 Bi 0.2500 0.2500 0.2500 1
Os1 Os 0.2500 0.2500 0.7500 1
# Offset from the most stable computed form (eV per atom): 0.000
# V (Å³/cell): 268

***

# 2
# PBE-GGA TaCuBiOs, relaxed
data_TaCuBiOs
_space_group_name_H-M_alt 'F -4 3 m'
_space_group_IT_number 216
_space_group_name_Hall 'F -4 2 3'
_cell_length_a 6.5635
_cell_length_b 6.5635
_cell_length_c 6.5635
_cell_angle_alpha 90.00
_cell_angle_beta 90.00
_cell_angle_gamma 90.00
loop_
_atom_site_label
_atom_site_type_symbol
_atom_site_fract_x
_atom_site_fract_y
_atom_site_fract_z
_atom_site_occupancy
Ta1 Ta 0.0000 0.0000 0.0000 1
Cu1 Cu 0.0000 0.0000 0.5000 1
Bi1 Bi 0.2500 0.2500 0.2500 1
Os1 Os 0.2500 0.2500 0.7500 1
# Offset from the most stable computed form (eV per atom): 0.142
# V (Å³/cell): 283

***

# 3
# PBE-GGA TaCuBiOs, relaxed
data_TaCuBiOs
_space_group_name_H-M_alt 'F -4 3 m'
_space_group_IT_number 216
_space_group_name_Hall 'F -4 2 3'
_cell_length_a 6.5605
_cell_length_b 6.5605
_cell_length_c 6.5605
_cell_angle_alpha 90.00
_cell_angle_beta 90.00
_cell_angle_gamma 90.00
loop_
_atom_site_label
_atom_site_type_symbol
_atom_site_fract_x
_atom_site_fract_y
_atom_site_fract_z
_atom_site_occupancy
Ta1 Ta 0.0000 0.0000 0.0000 1
Cu1 Cu 0.2500 0.2500 0.2500 1
Bi1 Bi 0.0000 0.0000 0.5000 1
Os1 Os 0.2500 0.2500 0.7500 1
# Offset from the most stable computed form (eV per atom): 0.000
# V (Å³/cell): 282